## PuNpPb2O6 (PBE-GGA)

Data for PuNpPb2O6 after structural relaxation.

a b c (Å): 6.059 6.155 10.542
angles (deg): 90.00 125.06 90.00
Space group P2_1/c (No. 14)
Unique sites:
Pu 0.000 0.000 0.000 [2 per cell]
Np 0.500 0.000 0.500 [2 per cell]
Pb 0.241 0.026 0.749 [4 per cell]
O 0.156 0.197 0.452 [4 per cell]
O 0.256 0.707 0.450 [4 per cell]
O 0.349 0.024 0.255 [4 per cell]

Results
Total DFT energy (no corrections) ... -173.63 eV for the cell shown
Raw formation energy ... -2.237 eV/atom